Density functional theory data (PBE) for crystalline Cs2AgHg4 at its relaxed geometry.

The space group is I4/mmm (No. 139) and the conventional cell measures 5.595, 5.595 and 18.996 Å, with angles of 90.00, 90.00 and 90.00 degrees. The distinct sites, in fractional coordinates, are Cs at (0.000, 0.000, 0.142), Ag at (0.000, 0.000, 0.500), Hg at (0.000, 0.000, 0.347) and Hg at (0.000, 0.500, 0.000).

As for the crystal system: tetragonal. The value obtained for the total energy is -6.72 eV per formula unit.



Density functional theory data (PBE) for crystalline Cs5Ag2Hg2 at its relaxed geometry.

The space group is Ima2 (No. 46) and the conventional cell measures 21.802, 10.202 and 9.205 Å, with angles of 90.00, 90.00 and 90.00 degrees. The distinct sites, in fractional coordinates, are Cs at (0.064, 0.174, 0.000), Cs at (0.145, 0.705, 0.836), Cs at (0.250, 0.111, 0.650), Ag at (0.064, 0.525, 0.143), Hg at (0.000, 0.000, 0.364) and Hg at (0.250, 0.506, 0.558).

As for the crystal system: orthorhombic. The value obtained for the total energy is -11.13 eV per formula unit.



Density functional theory data (PBE) for crystalline Cs2AgHg at its relaxed geometry.

The space group is P4/mmm (No. 123) and the conventional cell measures 4.597, 4.597 and 9.144 Å, with angles of 90.00, 90.00 and 90.00 degrees. The distinct sites, in fractional coordinates, are Cs at (0.000, 0.000, 0.236), Ag at (0.500, 0.500, 0.000) and Hg at (0.500, 0.500, 0.500).

The energy above the most stable polymorph in this dataset is 21 kJ/mol of formula units. As for the crystal system: tetragonal. The value obtained for the total energy is -5.13 eV per formula unit.



Density functional theory data (PBE) for crystalline CsAgHg at its relaxed geometry.

The space group is I4mm (No. 107) and the conventional cell measures 4.076, 4.076 and 12.768 Å, with angles of 90.00, 90.00 and 90.00 degrees. The distinct sites, in fractional coordinates, are Cs at (0.000, 0.000, 0.000), Ag at (0.000, 0.000, 0.287) and Hg at (0.000, 0.000, 0.707).

The energy above the most stable polymorph in this dataset is 21 kJ/mol of formula units. As for the crystal system: tetragonal. The value obtained for the total energy is -4.12 eV per formula unit.



Density functional theory data (PBE) for crystalline Cs3Ag2Hg9 at its relaxed geometry.

The space group is Immm (No. 71) and the conventional cell measures 5.159, 12.383 and 14.900 Å, with angles of 90.00, 90.00 and 90.00 degrees. The distinct sites, in fractional coordinates, are Cs at (0.000, 0.000, 0.000), Cs at (0.000, 0.000, 0.312), Ag at (0.000, 0.225, 0.500), Hg at (0.000, 0.283, 0.115), Hg at (0.000, 0.351, 0.329) and Hg at (0.000, 0.500, 0.000).

As for the crystal system: orthorhombic. The value obtained for the total energy is -13.22 eV per formula unit.



Density functional theory data (PBE) for crystalline Cs3Ag2Hg2 at its relaxed geometry.

The space group is C2/m (No. 12) and the conventional cell measures 13.666, 5.138 and 9.720 Å, with angles of 90.00, 114.10 and 90.00 degrees. The distinct sites, in fractional coordinates, are Cs at (0.000, 0.000, 0.000), Cs at (0.194, 0.000, 0.646), Ag at (0.205, 0.500, 0.939) and Hg at (0.002, 0.500, 0.329).

As for the crystal system: monoclinic. The value obtained for the total energy is -9.64 eV per formula unit.



Density functional theory data (PBE) for crystalline CsAgHg at its relaxed geometry.

The space group is P-6m2 (No. 187) and the conventional cell measures 5.0912, 5.0912 and 5.1803 Å, with angles of 90.00, 90.00 and 120.00 degrees. The distinct sites, in fractional coordinates, are Cs at (0.0000, 0.0000, 0.0000), Ag at (0.3333, 0.6667, 0.5000) and Hg at (0.6667, 0.3333, 0.5000).

The energy above the most stable polymorph in this dataset is 0 kJ/mol of formula units. As for the crystal system: hexagonal. The value obtained for the total energy is -4.33 eV per formula unit.



Density functional theory data (PBE) for crystalline CsAg3Hg at its relaxed geometry.

The space group is Pm-3m (No. 221) and the conventional cell measures 5.479, 5.479 and 5.479 Å, with angles of 90.00, 90.00 and 90.00 degrees. The distinct sites, in fractional coordinates, are Cs at (0.000, 0.000, 0.000), Ag at (0.000, 0.500, 0.500) and Hg at (0.500, 0.500, 0.500).

As for the crystal system: cubic. The value obtained for the total energy is -8.58 eV per formula unit.



Which energy of formation from the pure elements belongs to each record? In order, -13.1; -6.0; -6.4; -3.5; -15.4; -10.6; -10.5; 21.8 kJ/mol of atoms.